# GGA-PBEsol MgZrMo2, optimized geometry
data_MgZrMo2
_cell_length_a 3.296
_cell_length_b 4.494
_cell_length_c 9.365
_cell_angle_alpha 90.00
_cell_angle_beta 90.00
_cell_angle_gamma 90.00
_symmetry_space_group_name_H-M 'C m m m'
_symmetry_Int_Tables_number 65
_symmetry_space_group_name_Hall '-C 2 2'
loop_
_atom_site_label
_atom_site_type_symbol
_atom_site_fract_x
_atom_site_fract_y
_atom_site_fract_z
Mg1 Mg 0.000 0.000 0.000
Zr1 Zr 0.000 0.000 0.500
Mo1 Mo 0.000 0.500 0.251
# DOS(E_F)	1.04	states/eV/atom
# formation enthalpy at 0 K	290	meV per atom


# GGA-PBEsol MgZr4Mo, optimized geometry
data_MgZr4Mo
_cell_length_a 7.963
_cell_length_b 7.963
_cell_length_c 7.963
_cell_angle_alpha 90.00
_cell_angle_beta 90.00
_cell_angle_gamma 90.00
_symmetry_space_group_name_H-M 'F -4 3 m'
_symmetry_Int_Tables_number 216
_symmetry_space_group_name_Hall 'F -4 2 3'
loop_
_atom_site_label
_atom_site_type_symbol
_atom_site_fract_x
_atom_site_fract_y
_atom_site_fract_z
Mg1 Mg 0.000 0.000 0.000
Zr1 Zr 0.123 0.123 0.623
Mo1 Mo 0.250 0.250 0.250
# DOS(E_F)	1.55	states/eV/atom
# formation enthalpy at 0 K	556	meV per atom


# GGA-PBEsol Mg2ZrMo, optimized geometry
data_Mg2ZrMo
_cell_length_a 3.317
_cell_length_b 4.504
_cell_length_c 10.161
_cell_angle_alpha 90.00
_cell_angle_beta 90.00
_cell_angle_gamma 90.00
_symmetry_space_group_name_H-M 'I m m m'
_symmetry_Int_Tables_number 71
_symmetry_space_group_name_Hall '-I 2 2'
loop_
_atom_site_label
_atom_site_type_symbol
_atom_site_fract_x
_atom_site_fract_y
_atom_site_fract_z
Mg1 Mg 0.000 0.000 0.234
Zr1 Zr 0.000 0.500 0.000
Mo1 Mo 0.000 0.500 0.500
# DOS(E_F)	0.78	states/eV/atom
# formation enthalpy at 0 K	224	meV per atom


# GGA-PBEsol Mg3N2, optimized geometry
data_Mg3N2
_cell_length_a 9.950
_cell_length_b 9.950
_cell_length_c 9.950
_cell_angle_alpha 90.00
_cell_angle_beta 90.00
_cell_angle_gamma 90.00
_symmetry_space_group_name_H-M 'I a -3'
_symmetry_Int_Tables_number 206
_symmetry_space_group_name_Hall '-I 2b 2c 3'
loop_
_atom_site_label
_atom_site_type_symbol
_atom_site_fract_x
_atom_site_fract_y
_atom_site_fract_z
Mg1 Mg 0.097 0.139 0.632
N1 N 0.000 0.000 0.000
N2 N 0.000 0.250 0.281
# raw formation energy	-0.84	eV per atom


# GGA-PBEsol NaMgN2, optimized geometry
data_NaMgN2
_cell_length_a 3.4351
_cell_length_b 3.4351
_cell_length_c 18.6106
_cell_angle_alpha 90.00
_cell_angle_beta 90.00
_cell_angle_gamma 120.00
_symmetry_space_group_name_H-M 'R -3 m'
_symmetry_Int_Tables_number 166
_symmetry_space_group_name_Hall '-R 3 2"'
loop_
_atom_site_label
_atom_site_type_symbol
_atom_site_fract_x
_atom_site_fract_y
_atom_site_fract_z
Na1 Na 0.0000 0.0000 0.0000
Mg1 Mg 0.0000 0.0000 0.5000
N1 N 0.0000 0.0000 0.1200
# DOS(E_F)	0.15	states/eV/atom
# raw formation energy	0.78	eV per atom


# GGA-PBEsol NaMgN2, optimized geometry
data_NaMgN2
_cell_length_a 4.077
_cell_length_b 4.077
_cell_length_c 13.296
_cell_angle_alpha 90.00
_cell_angle_beta 90.00
_cell_angle_gamma 90.00
_symmetry_space_group_name_H-M 'I -4 2 d'
_symmetry_Int_Tables_number 122
_symmetry_space_group_name_Hall 'I -4 2bw'
loop_
_atom_site_label
_atom_site_type_symbol
_atom_site_fract_x
_atom_site_fract_y
_atom_site_fract_z
Na1 Na 0.000 0.000 0.000
Mg1 Mg 0.000 0.000 0.500
N1 N 0.089 0.250 0.625
# DOS(E_F)	0.40	states/eV/atom
# raw formation energy	0.59	eV per atom


# GGA-PBEsol NaMgS2N, optimized geometry
data_NaMgS2N
_cell_length_a 4.903
_cell_length_b 4.903
_cell_length_c 4.189
_cell_angle_alpha 90.00
_cell_angle_beta 90.00
_cell_angle_gamma 90.00
_symmetry_space_group_name_H-M 'P 4/m m m'
_symmetry_Int_Tables_number 123
_symmetry_space_group_name_Hall '-P 4 2'
loop_
_atom_site_label
_atom_site_type_symbol
_atom_site_fract_x
_atom_site_fract_y
_atom_site_fract_z
Na1 Na 0.000 0.000 0.000
Mg1 Mg 0.500 0.500 0.500
S1 S 0.000 0.500 0.000
N1 N 0.000 0.000 0.500
# distance to the lowest polymorph of the same formula	3.09	eV per formula unit
# DOS(E_F)	0.66	states/eV/atom
# raw formation energy	0.91	eV per atom


# GGA-PBEsol NaMgS2N, optimized geometry
data_NaMgS2N
_cell_length_a 4.864
_cell_length_b 4.864
_cell_length_c 4.219
_cell_angle_alpha 90.00
_cell_angle_beta 90.00
_cell_angle_gamma 90.00
_symmetry_space_group_name_H-M 'P 4/m m m'
_symmetry_Int_Tables_number 123
_symmetry_space_group_name_Hall '-P 4 2'
loop_
_atom_site_label
_atom_site_type_symbol
_atom_site_fract_x
_atom_site_fract_y
_atom_site_fract_z
Na1 Na 0.000 0.000 0.000
Mg1 Mg 0.500 0.500 0.500
S1 S 0.000 0.500 0.500
N1 N 0.500 0.500 0.000
# distance to the lowest polymorph of the same formula	0.00	eV per formula unit
# DOS(E_F)	0.72	states/eV/atom
# raw formation energy	0.30	eV per atom